Material: As2Pb8O13
Method: DFT, SCAN
State: PBEsol geometry

Values from the calculation:
Raw formation energy in meV per atom: -1309

Geometry as CIF:
```
data_As2Pb8O13
_chemical_formula_sum 'As8 Pb32 O52'
_space_group_name_H-M_alt 'C 1 2/m 1'
_space_group_IT_number 12
_space_group_name_Hall '-C 2y'
_cell_length_a 10.8395
_cell_length_b 10.4485
_cell_length_c 14.6120
_cell_angle_alpha 90.00
_cell_angle_beta 98.55
_cell_angle_gamma 90.00
loop_
_atom_site_label
_atom_site_fract_x
_atom_site_fract_y
_atom_site_fract_z
As1 0.0000 0.2467 0.0000
As2 0.1558 0.5000 0.5939
Pb1 0.0664 0.0000 0.2163
Pb2 0.0738 0.5000 0.2000
Pb3 0.0884 0.2545 0.4056
Pb4 0.1660 0.0000 0.6177
Pb5 0.1910 0.2359 0.7951
Pb6 0.2385 0.0000 0.9832
O1 0.0327 0.1397 0.7066
O2 0.0722 0.1516 0.9275
O3 0.0979 0.3647 0.6399
O4 0.1088 0.3393 0.0671
O5 0.1328 0.5000 0.4754
O6 0.1856 0.0000 0.3701
O7 0.1876 0.3568 0.3052
O8 0.2264 0.0000 0.8317
```

---

Material: As2Pb3O8
Method: DFT, SCAN
State: PBEsol geometry

Values from the calculation:
Raw formation energy in meV per atom: -1404

Geometry as CIF:
```
data_As2Pb3O8
_chemical_formula_sum 'As4 Pb6 O16'
_space_group_name_H-M_alt 'P 1 21/c 1'
_space_group_IT_number 14
_space_group_name_Hall '-P 2ybc'
_cell_length_a 7.4526
_cell_length_b 6.2447
_cell_length_c 9.3646
_cell_angle_alpha 90.00
_cell_angle_beta 114.44
_cell_angle_gamma 90.00
loop_
_atom_site_label
_atom_site_fract_x
_atom_site_fract_y
_atom_site_fract_z
As1 0.2040 0.0190 0.4021
Pb1 0.0000 0.0000 0.0000
Pb2 0.3818 0.5903 0.2895
O1 0.0377 0.5378 0.2249
O2 0.2568 0.7038 0.0233
O3 0.2810 0.2397 0.5195
O4 0.3248 0.5287 0.7819
```

---

Material: Zn3SbAs2Pb3O14
Method: DFT, SCAN
State: PBEsol geometry

Values from the calculation:
Raw formation energy in meV per atom: -1425

Geometry as CIF:
```
data_Zn3SbAs2Pb3O14
_chemical_formula_sum 'Zn3 Sb1 As2 Pb3 O14'
_space_group_name_H-M_alt 'P 3 2 1'
_space_group_IT_number 150
_space_group_name_Hall 'P 3 2"'
_cell_length_a 8.4597
_cell_length_b 8.4597
_cell_length_c 5.2551
_cell_angle_alpha 90.00
_cell_angle_beta 90.00
_cell_angle_gamma 120.00
loop_
_atom_site_label
_atom_site_fract_x
_atom_site_fract_y
_atom_site_fract_z
Zn1 0.0000 0.7631 0.0000
Sb1 0.0000 0.0000 0.5000
As1 0.3333 0.6667 0.9483
Pb1 0.0000 0.4035 0.5000
O1 0.0806 0.2181 0.2750
O2 0.1616 0.6916 0.8121
O3 0.3333 0.6667 0.2724
```

---

Material: As2PdO6
Method: DFT, SCAN
State: PBEsol geometry

Values from the calculation:
Raw formation energy in meV per atom: -1117

Geometry as CIF:
```
data_As2PdO6
_chemical_formula_sum 'As2 Pd1 O6'
_space_group_name_H-M_alt 'P -3 1 m'
_space_group_IT_number 162
_space_group_name_Hall '-P 3 2'
_cell_length_a 4.8763
_cell_length_b 4.8763
_cell_length_c 4.6182
_cell_angle_alpha 90.00
_cell_angle_beta 90.00
_cell_angle_gamma 120.00
loop_
_atom_site_label
_atom_site_fract_x
_atom_site_fract_y
_atom_site_fract_z
As1 0.3333 0.6667 0.0000
Pd1 0.0000 0.0000 0.5000
O1 0.0000 0.3707 0.7773
```

---

Material: PrAsO4
Method: DFT, SCAN
State: PBEsol geometry

Values from the calculation:
Raw formation energy in meV per atom: -2583

Geometry as CIF:
```
data_PrAsO4
_chemical_formula_sum 'Pr4 As4 O16'
_space_group_name_H-M_alt 'I 41/a'
_space_group_IT_number 88
_cell_length_a 5.1423
_cell_length_b 5.1423
_cell_length_c 11.6416
_cell_angle_alpha 90.00
_cell_angle_beta 90.00
_cell_angle_gamma 90.00
loop_
_space_group_symop_operation_xyz
'x,y,z'
'-x,-y,-z'
'-y+3/4,x+1/4,z+1/4'
'y+3/4,-x+1/4,-z+1/4'
'-x+1/2,-y,z+1/2'
'x+1/2,y,-z+1/2'
'y+3/4,-x+3/4,z+3/4'
'-y+3/4,x+3/4,-z+3/4'
'x+1/2,y+1/2,z+1/2'
'-x+1/2,-y+1/2,-z+1/2'
'-y+1/4,x+3/4,z+3/4'
'y+1/4,-x+3/4,-z+3/4'
'-x,-y+1/2,z'
'x,y+1/2,-z'
'y+1/4,-x+1/4,z+1/4'
'-y+1/4,x+1/4,-z+1/4'
loop_
_atom_site_label
_atom_site_fract_x
_atom_site_fract_y
_atom_site_fract_z
Pr1 0.0000 0.2500 0.1250
As1 0.0000 0.2500 0.6250
O1 0.1380 0.4968 0.7035
```

---

Material: PrAsO4
Method: DFT, SCAN
State: PBEsol geometry

Values from the calculation:
Raw formation energy in meV per atom: -2573

Geometry as CIF:
```
data_PrAsO4
_chemical_formula_sum 'Pr4 As4 O16'
_space_group_name_H-M_alt 'I 41/a m d'
_space_group_IT_number 141
_cell_length_a 7.3253
_cell_length_b 7.3253
_cell_length_c 6.4882
_cell_angle_alpha 90.00
_cell_angle_beta 90.00
_cell_angle_gamma 90.00
loop_
_space_group_symop_operation_xyz
'x,y,z'
'-x,-y,-z'
'-y+1/4,x+3/4,z+1/4'
'y+1/4,-x+3/4,-z+1/4'
'-x+1/2,-y,z+1/2'
'x+1/2,y,-z+1/2'
'y+1/4,-x+1/4,z+3/4'
'-y+1/4,x+1/4,-z+3/4'
'x,-y,-z'
'-x,y,z'
'-y+1/4,-x+1/4,-z+3/4'
'y+1/4,x+1/4,z+3/4'
'-x+1/2,y,-z+1/2'
'x+1/2,-y,z+1/2'
'y+1/4,x+3/4,-z+1/4'
'-y+1/4,-x+3/4,z+1/4'
'x+1/2,y+1/2,z+1/2'
'-x+1/2,-y+1/2,-z+1/2'
'-y+3/4,x+1/4,z+3/4'
'y+3/4,-x+1/4,-z+3/4'
'-x,-y+1/2,z'
'x,y+1/2,-z'
'y+3/4,-x+3/4,z+1/4'
'-y+3/4,x+3/4,-z+1/4'
'x+1/2,-y+1/2,-z+1/2'
'-x+1/2,y+1/2,z+1/2'
'-y+3/4,-x+3/4,-z+1/4'
'y+3/4,x+3/4,z+1/4'
'-x,y+1/2,-z'
'x,-y+1/2,z'
'y+3/4,x+1/4,-z+3/4'
'-y+3/4,-x+1/4,z+3/4'
loop_
_atom_site_label
_atom_site_fract_x
_atom_site_fract_y
_atom_site_fract_z
Pr1 0.0000 0.2500 0.3750
As1 0.0000 0.2500 0.8750
O1 0.0000 0.0711 0.7053
```

---

Which of these has the lowest raw formation energy? number 5

---

The lowest raw formation energy belongs to which entry? number 5

---

Which of these has the lowest raw formation energy? number 5